Entry 1:
# PBE NaDyCoS3, optimized geometry
data_NaDyCoS3
_cell_length_a 3.8522
_cell_length_b 12.7740
_cell_length_c 10.4217
_cell_angle_alpha 90.00
_cell_angle_beta 90.00
_cell_angle_gamma 90.00
_symmetry_space_group_name_H-M 'C m c m'
_symmetry_Int_Tables_number 63
_symmetry_space_group_name_Hall '-C 2c 2'
loop_
_atom_site_label
_atom_site_type_symbol
_atom_site_fract_x
_atom_site_fract_y
_atom_site_fract_z
Na1 Na 0.0000 0.2494 0.2500
Dy1 Dy 0.0000 0.0000 0.0000
Co1 Co 0.0000 0.4705 0.7500
S1 S 0.0000 0.0742 0.7500
S2 S 0.0000 0.3650 0.5781
# DFT total energy ... -5.44 eV/atom
# Polymorph energy (0 for the lowest one) ... 30.6 meV per atom

Entry 2:
# PBE HfZrIn2Co2Ir2, optimized geometry
data_HfZrIn2Co2Ir2
_cell_length_a 4.5410
_cell_length_b 4.5410
_cell_length_c 6.4255
_cell_angle_alpha 90.00
_cell_angle_beta 90.00
_cell_angle_gamma 90.00
_symmetry_space_group_name_H-M 'P -4 m 2'
_symmetry_Int_Tables_number 115
loop_
_symmetry_equiv_pos_as_xyz
'x,y,z'
'y,-x,-z'
'-x,-y,z'
'-y,x,-z'
'-x,y,z'
'-y,-x,-z'
'x,-y,z'
'y,x,-z'
loop_
_atom_site_label
_atom_site_type_symbol
_atom_site_fract_x
_atom_site_fract_y
_atom_site_fract_z
Hf1 Hf 0.0000 0.0000 0.0000
Zr1 Zr 0.5000 0.5000 0.5000
In1 In 0.0000 0.0000 0.5000
In2 In 0.5000 0.5000 0.0000
Co1 Co 0.0000 0.5000 0.2479
Ir1 Ir 0.0000 0.5000 0.7534
# DFT total energy ... -7.44 eV/atom